Compound: Sr4Tb3PmTe8
Source: Alexandria via LeMat-Bulk
Functional: PBE
Structure: relaxed

Geometry as extended XYZ:
```
16
Lattice="9.013 0.000 0.000 0.000 9.188 0.117 -4.507 -4.502 6.378" Properties=species:S:1:pos:R:3 pbc="T T T"
Te 0.000 0.158 3.298
Te 2.280 2.385 0.110
Te 2.227 2.301 6.385
Te -2.227 2.301 6.385
Te 4.507 0.161 3.261
Te 4.507 4.527 3.197
Te 6.733 2.385 0.110
Te 0.000 4.525 3.234
Sr -2.253 -2.251 3.189
Sr 0.000 0.000 0.000
Sr 4.507 0.000 0.000
Sr 2.253 -2.251 3.189
Tb -2.253 2.343 3.248
Tb 2.253 2.343 3.248
Tb 4.507 4.594 0.058
Pm 0.000 4.594 0.058
```

Properties
energy	-0.172	Ha/atom
uncorrected formation energy	-1.514	eV/atom